No. 1
The following is a DFT calculation (GGA-PBE) of a relaxed structure of LiDyGaHg.

- Energy relative to the elements: -43 kJ per mole of atoms
- Crystal system: cubic

Cell lengths 4.926, 4.926, 4.926 Å; angles 60.00, 60.00, 60.00 degrees
Sites, in units of the cell vectors:
Li 0.000 0.000 0.000
Dy 0.500 0.500 0.500
Ga 0.250 0.250 0.250
Hg 0.750 0.750 0.750

No. 2
The following is a DFT calculation (GGA-PBE) of a relaxed structure of Na2Ge2Cl7.

- Formation energy from raw total energies: -1081 meV per atom
- Crystal system: monoclinic

Cell lengths 7.754, 7.754, 6.747 Å; angles 107.03, 107.03, 93.51 degrees
Sites, in units of the cell vectors:
Na 0.191 0.809 0.000
Na 0.809 0.191 0.000
Ge 0.298 0.298 0.614
Ge 0.702 0.702 0.386
Cl 0.082 0.082 0.295
Cl 0.107 0.431 0.811
Cl 0.431 0.107 0.811
Cl 0.500 0.500 0.500
Cl 0.569 0.893 0.189
Cl 0.893 0.569 0.189
Cl 0.918 0.918 0.705

No. 3
The following is a DFT calculation (GGA-PBE) of a relaxed structure of PrTm3Zn4.

- Energy relative to the elements: -31 kJ per mole of atoms
- Crystal system: tetragonal

Cell lengths 5.022, 5.022, 7.218 Å; angles 90.00, 90.00, 90.00 degrees
Sites, in units of the cell vectors:
Pr 0.000 0.000 0.000
Tm 0.000 0.000 0.500
Tm 0.500 0.500 0.000
Tm 0.500 0.500 0.500
Zn 0.000 0.500 0.265
Zn 0.000 0.500 0.735
Zn 0.500 0.000 0.265
Zn 0.500 0.000 0.735

Number 1: size of the total moment 0.0 μB/f.u.. Number 2: size of the total moment 0.0 μB/f.u.. Number 3: size of the total moment 0.0 μB/f.u..